Entry 1:
The following is a DFT calculation (PBE) of TlSbAs2Cl after structural relaxation.

Cell: 5.0092 5.0092 5.5625 Å, 90.00 90.00 90.00°
Closest atoms and distances in Å follow each position.
Space group P4/mmm (No. 123)
Unique sites:
Tl  0.0000  0.0000  0.0000 (multiplicity 1)  2 Cl 2.78
Sb  0.5000  0.5000  0.0000 (multiplicity 1)  4 Tl 3.54, 8 As 3.74
As  0.0000  0.5000  0.5000 (multiplicity 2)  2 Cl 2.50
Cl  0.0000  0.0000  0.5000 (multiplicity 1)  4 As 2.50, 2 Tl 2.78

Summary:
- ΔE_f (raw): 661 meV per atom


Entry 2:
The following is a DFT calculation (PBE) of Zn2SbAsCl after structural relaxation.

Cell: 5.3076 5.3076 5.1516 Å, 90.00 90.00 90.00°
Closest atoms and distances in Å follow each position.
Space group P4/mmm (No. 123)
Unique sites:
Zn  0.0000  0.5000  0.0000 (multiplicity 2)  2 Sb 2.65
Sb  0.0000  0.0000  0.0000 (multiplicity 1)  2 Cl 2.58, 4 Zn 2.65
As  0.5000  0.5000  0.5000 (multiplicity 1)  8 Zn 3.70, 4 Cl 3.75
Cl  0.0000  0.0000  0.5000 (multiplicity 1)  2 Sb 2.58

Summary:
- ΔE_f (raw): 505 meV per atom


no.,DFT total energy (eV for the cell shown)
1,-14.327
2,-10.640